The following is a DFT calculation (GGA-PBE) of an optimized crystal structure of LiSb2Te4. Values from VASP.

Quantum ESPRESSO input file:
```
&SYSTEM
  ibrav = 0, nat = 7, ntyp = 3
/
ATOMIC_SPECIES
Li 6.94 Li.upf
Sb 121.76 Sb.upf
Te 127.60 Te.upf
ATOMIC_POSITIONS crystal
Li 0.0000 0.0000 0.0000
Sb 0.2524 0.2524 0.2623
Sb 0.7476 0.7476 0.7377
Te 0.1187 0.1187 0.4568
Te 0.3782 0.3782 0.0409
Te 0.6218 0.6218 0.9591
Te 0.8813 0.8813 0.5432
CELL_PARAMETERS angstrom
7.9876 -2.0989 0.0000
7.9876 2.0989 0.0000
-3.2231 0.0000 6.5632
```

Summary:
E above lowest polymorph = 9 meV per atom
crystal system = monoclinic



The following is a DFT calculation (GGA-PBE) of an optimized crystal structure of LiSb2Te2. Values from VASP.

Quantum ESPRESSO input file:
```
&SYSTEM
  ibrav = 0, nat = 10, ntyp = 3
/
ATOMIC_SPECIES
Li 6.94 Li.upf
Sb 121.76 Sb.upf
Te 127.60 Te.upf
ATOMIC_POSITIONS crystal
Li 0.0000 0.0000 0.0000
Li 0.5000 0.5000 0.0000
Sb 0.1395 0.3605 0.5000
Sb 0.3605 0.8605 0.5000
Sb 0.6395 0.1395 0.5000
Sb 0.8605 0.6395 0.5000
Te 0.1820 0.6820 0.0000
Te 0.3180 0.1820 0.0000
Te 0.6820 0.8180 0.0000
Te 0.8180 0.3180 0.0000
CELL_PARAMETERS angstrom
8.1132 0.0000 0.0000
0.0000 8.1132 0.0000
0.0000 0.0000 4.4603
```

Summary:
E above lowest polymorph = 0 meV per atom
crystal system = tetragonal



The following is a DFT calculation (GGA-PBE) of an optimized crystal structure of LiSb2Te2. Values from VASP.

Quantum ESPRESSO input file:
```
&SYSTEM
  ibrav = 0, nat = 5, ntyp = 3
/
ATOMIC_SPECIES
Li 6.94 Li.upf
Sb 121.76 Sb.upf
Te 127.60 Te.upf
ATOMIC_POSITIONS crystal
Li 0.0000 0.0000 0.0000
Sb 0.2500 0.7500 0.5000
Sb 0.7500 0.2500 0.5000
Te 0.4146 0.4146 0.0000
Te 0.5854 0.5854 0.0000
CELL_PARAMETERS angstrom
-2.1231 2.1231 8.5149
2.1231 -2.1231 8.5149
2.1231 2.1231 -8.5149
```

Summary:
E above lowest polymorph = 59 meV per atom
crystal system = tetragonal



The following is a DFT calculation (GGA-PBE) of an optimized crystal structure of Li8Sb2Te. Values from VASP.

Quantum ESPRESSO input file:
```
&SYSTEM
  ibrav = 0, nat = 11, ntyp = 3
/
ATOMIC_SPECIES
Li 6.94 Li.upf
Sb 121.76 Sb.upf
Te 127.60 Te.upf
ATOMIC_POSITIONS crystal
Li 0.1067 0.3429 0.7639
Li 0.1820 0.1820 0.0000
Li 0.2779 0.0000 0.2779
Li 0.4210 0.6571 0.7639
Li 0.5790 0.3429 0.2361
Li 0.7221 0.0000 0.7221
Li 0.8180 0.8180 0.0000
Li 0.8933 0.6571 0.2361
Sb 0.3237 0.8237 0.5000
Sb 0.6763 0.1763 0.5000
Te 0.0000 0.5000 0.5000
CELL_PARAMETERS angstrom
-2.3285 3.2483 7.0205
2.3285 -3.2483 7.0205
2.3285 3.2483 -7.0205
```

Summary:
crystal system = orthorhombic



The following is a DFT calculation (GGA-PBE) of an optimized crystal structure of Li4SbTe. Values from VASP.

Quantum ESPRESSO input file:
```
&SYSTEM
  ibrav = 0, nat = 6, ntyp = 3
/
ATOMIC_SPECIES
Li 6.94 Li.upf
Sb 121.76 Sb.upf
Te 127.60 Te.upf
ATOMIC_POSITIONS crystal
Li 0.1235 0.1235 0.1235
Li 0.1235 0.1235 0.6294
Li 0.1235 0.6294 0.1235
Li 0.6294 0.1235 0.1235
Sb 0.7500 0.7500 0.7500
Te 0.5000 0.5000 0.5000
CELL_PARAMETERS angstrom
0.0000 3.8942 3.8942
3.8942 0.0000 3.8942
3.8942 3.8942 0.0000
```

Summary:
crystal system = cubic



The following is a DFT calculation (GGA-PBE) of an optimized crystal structure of LiSb2Te4. Values from VASP.

Quantum ESPRESSO input file:
```
&SYSTEM
  ibrav = 0, nat = 7, ntyp = 3
/
ATOMIC_SPECIES
Li 6.94 Li.upf
Sb 121.76 Sb.upf
Te 127.60 Te.upf
ATOMIC_POSITIONS crystal
Li 0.0000 0.0000 0.0000
Sb 0.4200 0.4200 0.4200
Sb 0.5800 0.5800 0.5800
Te 0.1289 0.1289 0.1289
Te 0.2928 0.2928 0.2928
Te 0.7072 0.7072 0.7072
Te 0.8711 0.8711 0.8711
CELL_PARAMETERS angstrom
2.1148 1.2210 13.9590
-2.1148 1.2210 13.9590
0.0000 -2.4420 13.9590
```

Summary:
E above lowest polymorph = 0 meV per atom
crystal system = trigonal



The following is a DFT calculation (GGA-PBE) of an optimized crystal structure of LiSb2Te2. Values from VASP.

Quantum ESPRESSO input file:
```
&SYSTEM
  ibrav = 0, nat = 10, ntyp = 3
/
ATOMIC_SPECIES
Li 6.94 Li.upf
Sb 121.76 Sb.upf
Te 127.60 Te.upf
ATOMIC_POSITIONS crystal
Li 0.0000 0.0000 0.0000
Li 0.5000 0.5000 0.0000
Sb 0.1530 0.3470 0.0000
Sb 0.3470 0.8470 0.0000
Sb 0.6530 0.1530 0.0000
Sb 0.8470 0.6530 0.0000
Te 0.1775 0.6775 0.5000
Te 0.3225 0.1775 0.5000
Te 0.6775 0.8225 0.5000
Te 0.8225 0.3225 0.5000
CELL_PARAMETERS angstrom
8.3726 0.0000 0.0000
0.0000 8.3726 0.0000
0.0000 0.0000 4.2657
```

Summary:
E above lowest polymorph = 16 meV per atom
crystal system = tetragonal



The following is a DFT calculation (GGA-PBE) of an optimized crystal structure of Li3SbTe4. Values from VASP.

Quantum ESPRESSO input file:
```
&SYSTEM
  ibrav = 0, nat = 16, ntyp = 3
/
ATOMIC_SPECIES
Li 6.94 Li.upf
Sb 121.76 Sb.upf
Te 127.60 Te.upf
ATOMIC_POSITIONS crystal
Li 0.0000 0.1478 0.0000
Li 0.2412 0.3177 0.4828
Li 0.2588 0.6823 0.9828
Li 0.5000 0.8522 0.5000
Li 0.7412 0.6823 0.9828
Li 0.7588 0.3177 0.4828
Sb 0.0000 0.8233 0.4888
Sb 0.5000 0.1767 0.9888
Te 0.0000 0.1559 0.6194
Te 0.0000 0.8049 0.1153
Te 0.2475 0.6550 0.6092
Te 0.2525 0.3450 0.1092
Te 0.5000 0.1951 0.6153
Te 0.5000 0.8441 0.1194
Te 0.7475 0.3450 0.1092
Te 0.7525 0.6550 0.6092
CELL_PARAMETERS angstrom
9.1638 0.0000 0.0000
0.0000 7.7576 0.0000
0.0000 0.0000 7.4274
```

Summary:
crystal system = orthorhombic



The following is a DFT calculation (GGA-PBE) of an optimized crystal structure of Li8SbTe2. Values from VASP.

Quantum ESPRESSO input file:
```
&SYSTEM
  ibrav = 0, nat = 11, ntyp = 3
/
ATOMIC_SPECIES
Li 6.94 Li.upf
Sb 121.76 Sb.upf
Te 127.60 Te.upf
ATOMIC_POSITIONS crystal
Li 0.0000 0.0000 0.0000
Li 0.1347 0.8031 0.4717
Li 0.2887 0.6693 0.9814
Li 0.3074 0.3074 0.8031
Li 0.5372 0.7340 0.6367
Li 0.6693 0.2887 0.9814
Li 0.7340 0.5372 0.6367
Li 0.8031 0.1347 0.4717
Sb 0.7395 0.7395 0.2406
Te 0.0806 0.4021 0.2439
Te 0.4021 0.0806 0.2439
CELL_PARAMETERS angstrom
4.0372 -7.2086 0.0000
4.0372 7.2086 0.0000
-2.6213 0.0000 3.7825
```

Summary:
crystal system = monoclinic



The following is a DFT calculation (GGA-PBE) of an optimized crystal structure of Li2SbTe2. Values from VASP.

Quantum ESPRESSO input file:
```
&SYSTEM
  ibrav = 0, nat = 10, ntyp = 3
/
ATOMIC_SPECIES
Li 6.94 Li.upf
Sb 121.76 Sb.upf
Te 127.60 Te.upf
ATOMIC_POSITIONS crystal
Li 0.1330 0.3670 0.0000
Li 0.3670 0.8670 0.0000
Li 0.6330 0.1330 0.0000
Li 0.8670 0.6330 0.0000
Sb 0.0000 0.0000 0.5000
Sb 0.5000 0.5000 0.5000
Te 0.1726 0.6726 0.5000
Te 0.3274 0.1726 0.5000
Te 0.6726 0.8274 0.5000
Te 0.8274 0.3274 0.5000
CELL_PARAMETERS angstrom
8.2386 0.0000 0.0000
0.0000 8.2386 0.0000
0.0000 0.0000 3.8143
```

Summary:
crystal system = tetragonal



The following is a DFT calculation (GGA-PBE) of an optimized crystal structure of LiSbTe3. Values from VASP.

Quantum ESPRESSO input file:
```
&SYSTEM
  ibrav = 0, nat = 10, ntyp = 3
/
ATOMIC_SPECIES
Li 6.94 Li.upf
Sb 121.76 Sb.upf
Te 127.60 Te.upf
ATOMIC_POSITIONS crystal
Li 0.2426 0.2500 0.3962
Li 0.7574 0.7500 0.6038
Sb 0.2041 0.2500 0.8812
Sb 0.7959 0.7500 0.1188
Te 0.1601 0.7500 0.5968
Te 0.1740 0.7500 0.1214
Te 0.4697 0.7500 0.7631
Te 0.5303 0.2500 0.2369
Te 0.8260 0.2500 0.8786
Te 0.8399 0.2500 0.4032
CELL_PARAMETERS angstrom
8.2578 0.0000 0.0000
0.0000 4.2915 0.0000
-0.5082 0.0000 8.7246
```

Summary:
E above lowest polymorph = 0 meV per atom
crystal system = monoclinic



The following is a DFT calculation (GGA-PBE) of an optimized crystal structure of LiSb2Te3. Values from VASP.

Quantum ESPRESSO input file:
```
&SYSTEM
  ibrav = 0, nat = 6, ntyp = 3
/
ATOMIC_SPECIES
Li 6.94 Li.upf
Sb 121.76 Sb.upf
Te 127.60 Te.upf
ATOMIC_POSITIONS crystal
Li 0.0000 0.0000 0.0000
Sb 0.3303 0.3303 0.0000
Sb 0.6697 0.6697 0.0000
Te 0.1682 0.6682 0.5000
Te 0.5000 0.0000 0.5000
Te 0.8318 0.3318 0.5000
CELL_PARAMETERS angstrom
-2.2144 3.1514 6.4982
2.2144 -3.1514 6.4982
2.2144 3.1514 -6.4982
```

Summary:
crystal system = orthorhombic



Across the entries above, uncorrected energy takes the values -24.59, -33.70, -16.55, -34.66, -16.42, -24.65, -33.54, -53.14, -33.55, -33.18, -33.08, -21.27 eV for the cell shown, respectively.
Across the entries above, E_form (uncorrected) takes the values -0.266, -0.082, -0.022, -0.724, -0.250, -0.274, -0.066, -0.518, -0.712, -0.471, -0.216, -0.282 eV/atom, respectively.
Across the entries above, size of the total moment takes the values 0.00, 0.00, 0.00, 0.00, 0.00, 0.00, 0.00, 0.00, 0.00, 0.00, 0.00, 0.00 μB/f.u., respectively.